# Mg2ZnBr2, optimized geometry, DFT PBE
# Theoretical density: 3.53 Mg/m³
# ΔE to the lowest computed polymorph: 10 kJ/mol of formula units
# Uncorrected formation energy: -198 meV per atom
data_Mg2ZnBr2
_space_group_name_H-M_alt 'P 1'
_space_group_IT_number 1
_space_group_name_Hall 'P 1'
_cell_length_a 8.4235
_cell_length_b 8.4235
_cell_length_c 3.6273
_cell_angle_alpha 90.00
_cell_angle_beta 90.00
_cell_angle_gamma 90.00
loop_
_atom_site_label
_atom_site_fract_x
_atom_site_fract_y
_atom_site_fract_z
Zn1 0.0000 0.0000 0.0000
Zn2 0.5000 0.5000 0.0000
Mg1 0.1838 0.6838 0.5000
Mg2 0.6838 0.8162 0.5000
Mg3 0.8162 0.3162 0.5000
Mg4 0.3162 0.1838 0.5000
Br1 0.3613 0.8613 0.0000
Br2 0.8613 0.6387 0.0000
Br3 0.6387 0.1387 0.0000
Br4 0.1387 0.3613 0.0000

=====

# MgZnBr2, optimized geometry, DFT PBE
# Theoretical density: 2.93 Mg/m³
# ΔE to the lowest computed polymorph: 58 kJ/mol of formula units
# Uncorrected formation energy: -723 meV per atom
data_MgZnBr2
_space_group_name_H-M_alt 'P 1'
_space_group_IT_number 1
_space_group_name_Hall 'P 1'
_cell_length_a 6.7653
_cell_length_b 6.7653
_cell_length_c 6.7653
_cell_angle_alpha 148.54
_cell_angle_beta 117.36
_cell_angle_gamma 71.78
loop_
_atom_site_label
_atom_site_fract_x
_atom_site_fract_y
_atom_site_fract_z
Br1 0.9142 0.9142 0.0000
Br2 0.5858 0.5858 0.0000
Mg1 0.7500 0.2500 0.5000
Zn1 0.2500 0.7500 0.5000